Tb2Y3Er2 | Alexandria | GGA-PBE | relaxed; ΔH_f (0 K) = 4.3 kJ/mol of atoms; space-group type = Immm
1.0
-1.766 2.733 11.598
1.766 -2.733 11.598
1.766 2.733 -11.598
Tb Y Er
2 3 2
Cartesian
0.000 0.000 1.855
0.000 0.000 21.341
1.766 0.000 5.201
0.000 0.000 11.598
0.000 2.733 6.397
0.000 0.000 8.301
0.000 0.000 14.895



Cu4S2Cl3 | Alexandria | GGA-PBE | relaxed; formation energy without anion corrections = -311 meV per atom; space-group type = C2/m
1.0
6.527 -1.665 0.000
6.527 1.665 0.000
-2.616 0.000 8.149
Cu S Cl
4 2 3
Cartesian
1.833 0.000 0.341
3.283 0.000 2.991
7.154 0.000 5.159
8.604 0.000 7.808
0.707 0.000 6.740
9.730 0.000 1.409
0.400 0.000 3.588
6.527 0.000 0.000
10.038 0.000 4.561



Number 1: M_tot 0.0 μB per cell, calculated volume 31.987 Å³/atom. Number 2: M_tot 0.0 μB per cell, calculated volume 19.678 Å³/atom.